Model 1:
NbCoPO | PBE+U | relaxed

The structure belongs to space group Pmc2_1 (No. 26); the cell edges are 4.0835, 5.3140 and 5.1347 Å and the angles 90.00°, 90.00° and 90.00°. The distinct sites, in fractional coordinates, are Nb at (0.0000, 0.1859, 0.0000), Co at (0.5000, 0.1532, 0.6301), P at (0.0000, 0.3027, 0.4946) and O at (0.5000, 0.2229, 0.0173).

Model 2:
NbCoPO | PBE+U | relaxed

The structure belongs to space group P4/nmm (No. 129, origin choice 2); the cell edges are 3.5067, 3.5067 and 7.4544 Å and the angles 90.00°, 90.00° and 90.00°. The distinct sites, in fractional coordinates, are Nb at (0.2500, 0.2500, 0.1778), Co at (0.2500, 0.7500, 0.5000), P at (0.2500, 0.2500, 0.6724) and O at (0.2500, 0.7500, 0.0000).

Model 3:
NbCoPO | PBE+U | relaxed

The structure belongs to space group P4/nmm (No. 129, origin choice 2); the cell edges are 4.0017, 4.0017 and 8.4872 Å and the angles 90.00°, 90.00° and 90.00°. The distinct sites, in fractional coordinates, are Nb at (0.2500, 0.7500, 0.0000), Co at (0.2500, 0.2500, 0.4545), P at (0.2500, 0.2500, 0.1772) and O at (0.2500, 0.7500, 0.5000).

Which structure above is the least stable one? model 3 is the least stable one.